! Cd5Pt4Rh, optimized geometry, DFT PBE; values from VASP
&SYSTEM
  ibrav = 0, nat = 10, ntyp = 3
/
ATOMIC_SPECIES
Cd 112.41 Cd.upf
Pt 195.08 Pt.upf
Rh 102.91 Rh.upf
CELL_PARAMETERS angstrom
3.373 0.000 0.000
0.000 3.373 0.000
0.000 0.000 15.382
ATOMIC_POSITIONS angstrom
Cd 0.000 0.000 0.000
Cd 0.000 0.000 3.088
Cd 0.000 0.000 6.185
Cd 0.000 0.000 9.197
Cd 0.000 0.000 12.293
Pt 1.687 1.687 1.537
Pt 1.687 1.687 4.619
Pt 1.687 1.687 10.763
Pt 1.687 1.687 13.845
Rh 1.687 1.687 7.691
! * volume: 17.50 A^3/atom
! * total moment: 0.0000 μB per atom
! * ΔE_f: -0.2459 eV per atom
! * D(E_F): 2.47 states/eV/cell